First-principles (GGA+U) data for V2CrSbO6 after structural relaxation, as listed in Alexandria via LeMat-Bulk.

a = 5.317 Å, b = 5.376 Å, c = 5.632 Å
α = 61.34°, β = 61.64°, γ = 60.17°
Fractional coordinates of all 10 atoms:
1 Cr 0.819 0.817 0.545
2 O 0.114 0.409 0.733
3 O 0.729 0.118 0.740
4 O 0.859 0.665 0.256
5 O 0.660 0.218 0.250
6 O 0.223 0.865 0.255
7 O 0.410 0.735 0.744
8 Sb 0.309 0.301 0.093
9 V 0.516 0.512 0.462
10 V 0.024 0.020 0.938

Volume ... 11.6 A^3/atom
Uncorrected energy ... -73.69 eV per cell